# 1
A plane-wave DFT calculation with PBE-GGA was carried out for crystalline CsLuSn2 at its relaxed geometry.

Summary:
ΔE_f = -380 meV/atom
Calculated density = 6.5 g cm⁻³
Final energy = -3.725 eV/atom
Volume = 138.9 Å³ per cell

abc: 4.039 4.039 8.512
angles: 90.00 90.00 90.00
Positions (direct):
Cs 0.000 0.000 0.000
Lu 0.000 0.000 0.500
Sn 0.500 0.500 0.328
Sn 0.500 0.500 0.672

---

# 2
A plane-wave DFT calculation with PBE-GGA was carried out for crystalline CsMg at its relaxed geometry.

Summary:
ΔE_f = 217 meV/atom
Calculated density = 2.2 g cm⁻³
Final energy = -1.007 eV/atom
Volume = 485.0 Å³ per cell

abc: 5.644 14.637 5.871
angles: 90.00 90.00 90.00
Positions (direct):
Cs 0.250 0.149 0.000
Cs 0.250 0.649 0.500
Cs 0.750 0.351 0.500
Cs 0.750 0.851 0.000
Mg 0.250 0.455 0.998
Mg 0.250 0.955 0.498
Mg 0.750 0.045 0.498
Mg 0.750 0.545 0.998

---

# 3
A plane-wave DFT calculation with PBE-GGA was carried out for crystalline CsMg at its relaxed geometry.

Summary:
ΔE_f = 631 meV/atom
Calculated density = 1.3 g cm⁻³
Final energy = -0.593 eV/atom
Volume = 779.9 Å³ per cell

abc: 9.205 9.205 9.205
angles: 90.00 90.00 90.00
Positions (direct):
Cs 0.000 0.000 0.000
Cs 0.000 0.500 0.500
Cs 0.500 0.000 0.500
Cs 0.500 0.500 0.000
Mg 0.250 0.250 0.250
Mg 0.250 0.750 0.750
Mg 0.750 0.250 0.750
Mg 0.750 0.750 0.250

---

# 4
A plane-wave DFT calculation with PBE-GGA was carried out for crystalline CsMg at its relaxed geometry.

Summary:
ΔE_f = 363 meV/atom
Calculated density = 2.0 g cm⁻³
Final energy = -0.861 eV/atom
Volume = 534.8 Å³ per cell

abc: 8.118 8.118 8.115
angles: 90.00 90.00 90.00
Positions (direct):
Cs 0.184 0.184 0.000
Cs 0.316 0.684 0.500
Cs 0.684 0.316 0.500
Cs 0.816 0.816 0.000
Mg 0.138 0.138 0.500
Mg 0.362 0.638 0.000
Mg 0.638 0.362 0.000
Mg 0.862 0.862 0.500

---

# 5
A plane-wave DFT calculation with PBE-GGA was carried out for crystalline CsMg at its relaxed geometry.

Summary:
ΔE_f = 529 meV/atom
Calculated density = 1.5 g cm⁻³
Final energy = -0.695 eV/atom
Volume = 350.5 Å³ per cell

abc: 7.042 7.042 8.161
angles: 90.00 90.00 120.00
Positions (direct):
Cs 0.333 0.667 0.250
Cs 0.667 0.333 0.750
Mg 0.333 0.667 0.750
Mg 0.667 0.333 0.250

---

# 6
A plane-wave DFT calculation with PBE-GGA was carried out for crystalline CsMg at its relaxed geometry.

Summary:
ΔE_f = 317 meV/atom
Calculated density = 2.1 g cm⁻³
Final energy = -0.907 eV/atom
Volume = 509.2 Å³ per cell

abc: 10.207 9.361 8.149
angles: 70.94 60.08 48.98
Positions (direct):
Cs 0.076 0.674 0.076
Cs 0.326 0.924 0.326
Cs 0.674 0.076 0.674
Cs 0.924 0.326 0.924
Mg 0.223 0.527 0.527
Mg 0.473 0.777 0.777
Mg 0.527 0.223 0.223
Mg 0.777 0.473 0.473

---

# 7
A plane-wave DFT calculation with PBE-GGA was carried out for crystalline CsMg at its relaxed geometry.

Summary:
ΔE_f = 435 meV/atom
Calculated density = 1.9 g cm⁻³
Final energy = -0.789 eV/atom
Volume = 553.4 Å³ per cell

abc: 8.210 8.210 8.210
angles: 90.00 90.00 90.00
Positions (direct):
Cs 0.000 0.000 0.000
Cs 0.000 0.500 0.500
Cs 0.500 0.000 0.500
Cs 0.500 0.500 0.000
Mg 0.000 0.000 0.500
Mg 0.000 0.500 0.000
Mg 0.500 0.000 0.000
Mg 0.500 0.500 0.500

---

# 8
A plane-wave DFT calculation with PBE-GGA was carried out for crystalline CsMg at its relaxed geometry.

Summary:
ΔE_f = 264 meV/atom
Calculated density = 1.8 g cm⁻³
Final energy = -0.960 eV/atom
Volume = 1168.2 Å³ per cell

abc: 14.737 14.737 5.379
angles: 90.00 90.00 90.00
Positions (direct):
Cs 0.000 0.259 0.000
Cs 0.000 0.741 0.000
Cs 0.241 0.500 0.500
Cs 0.259 0.000 0.000
Cs 0.500 0.241 0.500
Cs 0.500 0.759 0.500
Cs 0.741 0.000 0.000
Cs 0.759 0.500 0.500
Mg 0.217 0.782 0.500
Mg 0.218 0.217 0.500
Mg 0.282 0.283 0.000
Mg 0.283 0.718 0.000
Mg 0.717 0.282 0.000
Mg 0.718 0.717 0.000
Mg 0.782 0.783 0.500
Mg 0.783 0.218 0.500

---

Q: Among the records above, which one has the lowest volume?
A: CsLuSn2

---

Please write out number 4 again, unchanged.
A plane-wave DFT calculation with PBE-GGA was carried out for crystalline CsMg at its relaxed geometry.

Summary:
ΔE_f = 363 meV/atom
Calculated density = 2.0 g cm⁻³
Final energy = -0.861 eV/atom
Volume = 534.8 Å³ per cell

abc: 8.118 8.118 8.115
angles: 90.00 90.00 90.00
Positions (direct):
Cs 0.184 0.184 0.000
Cs 0.316 0.684 0.500
Cs 0.684 0.316 0.500
Cs 0.816 0.816 0.000
Mg 0.138 0.138 0.500
Mg 0.362 0.638 0.000
Mg 0.638 0.362 0.000
Mg 0.862 0.862 0.500